No. 1
{
  "formula": "Tb2SmErS4",
  "functional": "PBE-GGA",
  "state": "relaxed",
  "lattice": [[3.896, 0.000, 0.000], [0.000, 6.808, -0.153], [0.000, 2.381, 6.432]],
  "species": ["Tb", "Sm", "S", "Er", "S", "S", "Tb", "S"],
  "fractional_positions": [[0.000, 0.000, 0.000], [0.500, 0.500, 0.000], [0.500, 0.252, 0.743], [0.000, 0.500, 0.500], [0.000, 0.753, 0.743], [0.500, 0.748, 0.257], [0.500, 0.000, 0.500], [0.000, 0.247, 0.257]],
  "magmom_total_mub_per_cell": 0.0,
  "total_energy_ev_per_atom": -6.3756,
  "raw_formation_energy_mev_per_atom": -1994
}

---

No. 2
{
  "formula": "Mn2AgAs",
  "functional": "PBE-GGA",
  "state": "relaxed",
  "lattice": [[-2.052, 1.533, -1.145], [-0.687, -2.157, -1.657], [-5.015, -2.617, 5.483]],
  "species": ["Mn", "As", "Mn", "Ag"],
  "fractional_positions": [[0.500, 0.500, 0.207], [0.500, 0.500, 0.811], [0.000, 0.000, 0.014], [0.000, 0.000, 0.468]],
  "magmom_total_mub_per_cell": 2.0,
  "total_energy_ev_per_atom": -6.3006,
  "formation_energy_ev_per_atom": 0.159
}

---

No. 3
{
  "formula": "Mg5Be",
  "functional": "PBE-GGA",
  "state": "relaxed",
  "lattice": [[2.782, -4.819, 0.000], [2.782, 4.819, 0.000], [0.000, 0.000, 5.244]],
  "species": ["Mg", "Mg", "Mg", "Mg", "Mg", "Be"],
  "fractional_positions": [[0.667, 0.333, 0.000], [0.000, 0.500, 0.500], [0.500, 0.000, 0.500], [0.500, 0.500, 0.500], [0.333, 0.667, 0.000], [0.000, 0.000, 0.000]],
  "magmom_total_mub_per_cell": 0.0,
  "total_energy_ev_per_atom": -1.4143,
  "polymorph_energy_mev_per_atom": 403.2,
  "formation_energy_ev_per_atom": 0.536
}

---

No. 4
{
  "formula": "HgI2ClF",
  "functional": "PBE-GGA",
  "state": "relaxed",
  "lattice": [[4.783, 0.000, 0.000], [0.000, 7.402, 0.000], [0.000, 0.000, 4.783]],
  "species": ["F", "Hg", "I", "I", "Cl"],
  "fractional_positions": [[0.000, 0.000, 0.000], [0.500, 0.500, 0.500], [0.000, 0.000, 0.500], [0.500, 0.000, 0.000], [0.000, 0.500, 0.000]],
  "magmom_total_mub_per_cell": 0.0,
  "total_energy_ev_per_atom": -1.4751,
  "raw_formation_energy_mev_per_atom": -51,
  "polymorph_energy_mev_per_atom": 0.0
}

---

No. 5
{
  "formula": "BP",
  "functional": "PBE-GGA",
  "state": "relaxed",
  "lattice": [[-0.111, 0.767, -3.108], [0.122, -5.406, -1.339], [-5.557, -0.165, 0.158]],
  "species": ["P", "P", "P", "B", "B", "B", "P", "B"],
  "fractional_positions": [[0.000, 0.800, 0.308], [0.000, 0.200, 0.308], [0.500, 0.300, 0.808], [0.500, 0.662, 0.165], [0.500, 0.338, 0.165], [0.000, 0.838, 0.665], [0.500, 0.700, 0.808], [0.000, 0.162, 0.665]],
  "magmom_total_mub_per_cell": 0.0,
  "total_energy_ev_per_atom": -6.2239,
  "formation_energy_ev_per_atom": -0.180
}

---

No. 6
{
  "formula": "CrReNi2",
  "functional": "PBE-GGA",
  "state": "relaxed",
  "lattice": [[-4.565, -0.182, -0.020], [-1.722, -1.466, -3.970], [3.236, -1.549, 2.829]],
  "species": ["Re", "Ni", "Cr", "Ni"],
  "fractional_positions": [[0.750, 0.250, 0.500], [0.500, 0.500, 0.000], [0.250, 0.750, 0.500], [0.000, 0.000, 0.000]],
  "magmom_total_mub_per_cell": 1.1,
  "total_energy_ev_per_atom": -8.3715,
  "polymorph_energy_mev_per_atom": 32.1,
  "formation_energy_ev_per_atom": 0.037
}

---

What is the formula in the second record?
Mn2AgAs

---

Repeat the sixth record exactly.
{
  "formula": "CrReNi2",
  "functional": "PBE-GGA",
  "state": "relaxed",
  "lattice": [[-4.565, -0.182, -0.020], [-1.722, -1.466, -3.970], [3.236, -1.549, 2.829]],
  "species": ["Re", "Ni", "Cr", "Ni"],
  "fractional_positions": [[0.750, 0.250, 0.500], [0.500, 0.500, 0.000], [0.250, 0.750, 0.500], [0.000, 0.000, 0.000]],
  "magmom_total_mub_per_cell": 1.1,
  "total_energy_ev_per_atom": -8.3715,
  "polymorph_energy_mev_per_atom": 32.1,
  "formation_energy_ev_per_atom": 0.037
}